# Sr2TaInPt | the Alexandria database | meta-GGA SCAN | PBEsol geometry
# energy of formation from the pure elements	0.082	eV/atom
# spin magnetization	1.32	μB per formula unit
# SG	No. 123
# DFT total energy	-214.302	eV per cell
data_Sr2TaInPt
_chemical_formula_sum 'Sr2 Ta1 In1 Pt1'
_cell_length_a 4.8596
_cell_length_b 5.7791
_cell_length_c 5.7791
_cell_angle_alpha 90.00
_cell_angle_beta 90.00
_cell_angle_gamma 90.00
_space_group_name_H-M_alt 'P 1'
_space_group_IT_number 1
loop_
_space_group_symop_operation_xyz
'x,y,z'
loop_
_atom_site_label
_atom_site_type_symbol
_atom_site_fract_x
_atom_site_fract_y
_atom_site_fract_z
_atom_site_occupancy
Pt1 Pt 0.0000 0.0000 0.0000 1
Ta1 Ta 0.5000 0.0000 0.0000 1
Sr1 Sr 0.0000 0.5000 0.0000 1
Sr2 Sr 0.0000 0.0000 0.5000 1
In1 In 0.5000 0.5000 0.5000 1

---

# TaInPt2 | the Alexandria database | meta-GGA SCAN | PBEsol geometry
# energy of formation from the pure elements	-0.388	eV/atom
# spin magnetization	0.00	μB per formula unit
# SG	No. 25
# DFT total energy	-241.908	eV per cell
data_TaInPt2
_chemical_formula_sum 'Ta1 In1 Pt2'
_cell_length_a 2.9138
_cell_length_b 4.0477
_cell_length_c 5.7236
_cell_angle_alpha 90.00
_cell_angle_beta 90.00
_cell_angle_gamma 90.00
_space_group_name_H-M_alt 'P 1'
_space_group_IT_number 1
loop_
_space_group_symop_operation_xyz
'x,y,z'
loop_
_atom_site_label
_atom_site_type_symbol
_atom_site_fract_x
_atom_site_fract_y
_atom_site_fract_z
_atom_site_occupancy
Pt1 Pt 0.5000 0.5000 0.2728 1
Pt2 Pt 0.0000 0.0000 0.9891 1
Ta1 Ta 0.0000 0.0000 0.4635 1
In1 In 0.5000 0.5000 0.7747 1

---

# TaInPt2 | the Alexandria database | meta-GGA SCAN | PBEsol geometry
# energy of formation from the pure elements	-0.406	eV/atom
# spin magnetization	0.00	μB per formula unit
# SG	No. 119
# DFT total energy	-241.981	eV per cell
data_TaInPt2
_chemical_formula_sum 'Ta1 In1 Pt2'
_cell_length_a 4.0803
_cell_length_b 4.0803
_cell_length_c 4.9076
_cell_angle_alpha 114.56
_cell_angle_beta 114.56
_cell_angle_gamma 90.00
_space_group_name_H-M_alt 'P 1'
_space_group_IT_number 1
loop_
_space_group_symop_operation_xyz
'x,y,z'
loop_
_atom_site_label
_atom_site_type_symbol
_atom_site_fract_x
_atom_site_fract_y
_atom_site_fract_z
_atom_site_occupancy
Ta1 Ta 0.5000 0.5000 0.0000 1
Pt1 Pt 0.0000 0.0000 0.0000 1
Pt2 Pt 0.7500 0.2500 0.5000 1
In1 In 0.2500 0.7500 0.5000 1

---

# TaInPt2 | the Alexandria database | meta-GGA SCAN | PBEsol geometry
# energy of formation from the pure elements	-0.478	eV/atom
# spin magnetization	0.00	μB per formula unit
# SG	No. 8
# DFT total energy	-242.268	eV per cell
data_TaInPt2
_chemical_formula_sum 'Ta1 In1 Pt2'
_cell_length_a 2.8630
_cell_length_b 4.9741
_cell_length_c 4.9551
_cell_angle_alpha 97.94
_cell_angle_beta 106.79
_cell_angle_gamma 90.00
_space_group_name_H-M_alt 'P 1'
_space_group_IT_number 1
loop_
_space_group_symop_operation_xyz
'x,y,z'
loop_
_atom_site_label
_atom_site_type_symbol
_atom_site_fract_x
_atom_site_fract_y
_atom_site_fract_z
_atom_site_occupancy
Pt1 Pt 0.2485 0.7150 0.4970 1
Pt2 Pt 0.9994 0.0288 0.9987 1
Ta1 Ta 0.5056 0.5435 0.0112 1
In1 In 0.7465 0.2126 0.4931 1

---

# TaInPt2 | the Alexandria database | meta-GGA SCAN | PBEsol geometry
# energy of formation from the pure elements	-0.149	eV/atom
# spin magnetization	0.00	μB per formula unit
# SG	No. 160
# DFT total energy	-240.952	eV per cell
data_TaInPt2
_chemical_formula_sum 'Ta1 In1 Pt2'
_cell_length_a 2.9111
_cell_length_b 2.9111
_cell_length_c 9.3280
_cell_angle_alpha 81.02
_cell_angle_beta 81.02
_cell_angle_gamma 60.00
_space_group_name_H-M_alt 'P 1'
_space_group_IT_number 1
loop_
_space_group_symop_operation_xyz
'x,y,z'
loop_
_atom_site_label
_atom_site_type_symbol
_atom_site_fract_x
_atom_site_fract_y
_atom_site_fract_z
_atom_site_occupancy
In1 In 0.2529 0.2529 0.2414 1
Pt1 Pt 0.0005 0.0005 0.9984 1
Pt2 Pt 0.7511 0.7511 0.7467 1
Ta1 Ta 0.4955 0.4955 0.5135 1

---

# TbInPt2 | the Alexandria database | meta-GGA SCAN | PBEsol geometry
# energy of formation from the pure elements	-1.115	eV/atom
# spin magnetization	0.00	μB per formula unit
# SG	No. 194
# DFT total energy	-449.988	eV per cell
data_TbInPt2
_chemical_formula_sum 'Tb2 In2 Pt4'
_cell_length_a 4.5260
_cell_length_b 4.5260
_cell_length_c 8.8889
_cell_angle_alpha 90.00
_cell_angle_beta 90.00
_cell_angle_gamma 120.00
_space_group_name_H-M_alt 'P 1'
_space_group_IT_number 1
loop_
_space_group_symop_operation_xyz
'x,y,z'
loop_
_atom_site_label
_atom_site_type_symbol
_atom_site_fract_x
_atom_site_fract_y
_atom_site_fract_z
_atom_site_occupancy
Pt1 Pt 0.6667 0.3333 0.0907 1
Pt2 Pt 0.3333 0.6667 0.5907 1
Pt3 Pt 0.6667 0.3333 0.4093 1
Pt4 Pt 0.3333 0.6667 0.9093 1
In1 In 0.0000 0.0000 0.0000 1
In2 In 0.0000 0.0000 0.5000 1
Tb1 Tb 0.3333 0.6667 0.2500 1
Tb2 Tb 0.6667 0.3333 0.7500 1

---

# Tb2In16Pt7 | the Alexandria database | meta-GGA SCAN | PBEsol geometry
# energy of formation from the pure elements	-0.665	eV/atom
# spin magnetization	0.00	μB per formula unit
# SG	No. 65
# DFT total energy	-1135.672	eV per cell
data_Tb2In16Pt7
_chemical_formula_sum 'Tb2 In16 Pt7'
_cell_length_a 4.3932
_cell_length_b 11.6696
_cell_length_c 11.6696
_cell_angle_alpha 117.53
_cell_angle_beta 90.00
_cell_angle_gamma 90.00
_space_group_name_H-M_alt 'P 1'
_space_group_IT_number 1
loop_
_space_group_symop_operation_xyz
'x,y,z'
loop_
_atom_site_label
_atom_site_type_symbol
_atom_site_fract_x
_atom_site_fract_y
_atom_site_fract_z
_atom_site_occupancy
Tb1 Tb 0.5000 0.8299 0.8299 1
Tb2 Tb 0.5000 0.1701 0.1701 1
In1 In 0.5000 0.2562 0.4825 1
In2 In 0.0000 0.1407 0.5874 1
In3 In 0.5000 0.9614 0.2869 1
In4 In 0.0000 0.8593 0.4126 1
In5 In 0.0000 0.4126 0.8593 1
In6 In 0.5000 0.5175 0.7438 1
In7 In 0.5000 0.7438 0.5175 1
In8 In 0.0000 0.5874 0.1407 1
In9 In 0.5000 0.4825 0.2562 1
In10 In 0.0000 0.0729 0.9271 1
In11 In 0.0000 0.3674 0.3674 1
In12 In 0.0000 0.6326 0.6326 1
In13 In 0.5000 0.2869 0.9614 1
In14 In 0.5000 0.7131 0.0386 1
In15 In 0.0000 0.9271 0.0729 1
In16 In 0.5000 0.0386 0.7131 1
Pt1 Pt 0.5000 0.2758 0.7242 1
Pt2 Pt 0.0000 0.1152 0.3324 1
Pt3 Pt 0.0000 0.8848 0.6676 1
Pt4 Pt 0.5000 0.7242 0.2758 1
Pt5 Pt 0.0000 0.3324 0.1152 1
Pt6 Pt 0.0000 0.6676 0.8848 1
Pt7 Pt 0.5000 0.5000 0.5000 1

---

# InTc2Pt | the Alexandria database | meta-GGA SCAN | PBEsol geometry
# energy of formation from the pure elements	0.237	eV/atom
# spin magnetization	0.00	μB per formula unit
# SG	No. 166
# DFT total energy	-172.751	eV per cell
data_InTc2Pt
_chemical_formula_sum 'In1 Tc2 Pt1'
_cell_length_a 2.8159
_cell_length_b 2.8159
_cell_length_c 9.1819
_cell_angle_alpha 81.18
_cell_angle_beta 81.18
_cell_angle_gamma 60.00
_space_group_name_H-M_alt 'P 1'
_space_group_IT_number 1
loop_
_space_group_symop_operation_xyz
'x,y,z'
loop_
_atom_site_label
_atom_site_type_symbol
_atom_site_fract_x
_atom_site_fract_y
_atom_site_fract_z
_atom_site_occupancy
Pt1 Pt 0.0000 0.0000 0.0000 1
In1 In 0.5000 0.5000 0.5000 1
Tc1 Tc 0.2535 0.2535 0.2395 1
Tc2 Tc 0.7465 0.7465 0.7605 1

---

# InTc2Pt | the Alexandria database | meta-GGA SCAN | PBEsol geometry
# energy of formation from the pure elements	0.187	eV/atom
# spin magnetization	0.00	μB per formula unit
# SG	No. 123
# DFT total energy	-172.950	eV per cell
data_InTc2Pt
_chemical_formula_sum 'In1 Tc2 Pt1'
_cell_length_a 2.7694
_cell_length_b 2.7694
_cell_length_c 8.0679
_cell_angle_alpha 90.00
_cell_angle_beta 90.00
_cell_angle_gamma 90.00
_space_group_name_H-M_alt 'P 1'
_space_group_IT_number 1
loop_
_space_group_symop_operation_xyz
'x,y,z'
loop_
_atom_site_label
_atom_site_type_symbol
_atom_site_fract_x
_atom_site_fract_y
_atom_site_fract_z
_atom_site_occupancy
In1 In 0.5000 0.5000 0.0000 1
Tc1 Tc 0.0000 0.0000 0.2638 1
Tc2 Tc 0.0000 0.0000 0.7362 1
Pt1 Pt 0.5000 0.5000 0.5000 1

---

# In2TePt | the Alexandria database | meta-GGA SCAN | PBEsol geometry
# energy relative to the elements, uncorrected	0.095	eV/atom
# spin magnetization	0.00	μB per formula unit
# SG	No. 123
# DFT total energy	-173.838	eV per cell
data_In2TePt
_chemical_formula_sum 'In2 Te1 Pt1'
_cell_length_a 4.0798
_cell_length_b 4.0798
_cell_length_c 5.3777
_cell_angle_alpha 90.00
_cell_angle_beta 90.00
_cell_angle_gamma 90.00
_space_group_name_H-M_alt 'P 1'
_space_group_IT_number 1
loop_
_space_group_symop_operation_xyz
'x,y,z'
loop_
_atom_site_label
_atom_site_type_symbol
_atom_site_fract_x
_atom_site_fract_y
_atom_site_fract_z
_atom_site_occupancy
In1 In 0.5000 0.0000 0.0000 1
In2 In 0.0000 0.5000 0.0000 1
Te1 Te 0.0000 0.0000 0.5000 1
Pt1 Pt 0.5000 0.5000 0.5000 1

---

# In2TePt | the Alexandria database | meta-GGA SCAN | PBEsol geometry
# energy relative to the elements, uncorrected	0.159	eV/atom
# spin magnetization	0.00	μB per formula unit
# SG	No. 139
# DFT total energy	-173.580	eV per cell
data_In2TePt
_chemical_formula_sum 'In2 Te1 Pt1'
_cell_length_a 4.5271
_cell_length_b 4.5271
_cell_length_c 5.3028
_cell_angle_alpha 115.27
_cell_angle_beta 115.27
_cell_angle_gamma 90.00
_space_group_name_H-M_alt 'P 1'
_space_group_IT_number 1
loop_
_space_group_symop_operation_xyz
'x,y,z'
loop_
_atom_site_label
_atom_site_type_symbol
_atom_site_fract_x
_atom_site_fract_y
_atom_site_fract_z
_atom_site_occupancy
Te1 Te 0.0000 0.0000 0.0000 1
Pt1 Pt 0.5000 0.5000 0.0000 1
In1 In 0.7500 0.2500 0.5000 1
In2 In 0.2500 0.7500 0.5000 1

---

# Zr2InTePt | the Alexandria database | meta-GGA SCAN | PBEsol geometry
# energy relative to the elements, uncorrected	1.232	eV/atom
# spin magnetization	0.00	μB per formula unit
# SG	No. 123
# DFT total energy	-196.070	eV per cell
data_Zr2InTePt
_chemical_formula_sum 'Zr2 In1 Te1 Pt1'
_cell_length_a 5.2196
_cell_length_b 5.2050
_cell_length_c 5.2050
_cell_angle_alpha 90.00
_cell_angle_beta 90.00
_cell_angle_gamma 90.00
_space_group_name_H-M_alt 'P 1'
_space_group_IT_number 1
loop_
_space_group_symop_operation_xyz
'x,y,z'
loop_
_atom_site_label
_atom_site_type_symbol
_atom_site_fract_x
_atom_site_fract_y
_atom_site_fract_z
_atom_site_occupancy
Zr1 Zr 0.0000 0.5000 0.0000 1
Zr2 Zr 0.0000 0.0000 0.5000 1
Te1 Te 0.5000 0.0000 0.0000 1
In1 In 0.0000 0.0000 0.0000 1
Pt1 Pt 0.5000 0.5000 0.5000 1

---

> Which value of spin magnetization does entry 4 give?

0.00 μB per formula unit